# GGA-PBEsol LiV2NiO6, optimized geometry
# - V (Å³/atom) = 11.1
# - ΔE_f (raw) (eV/atom) = -1.9949
# - final energy (eV/atom) = -7.8838
# - size of the total moment (μB per cell) = 3.998
data_LiV2NiO6
_chemical_formula_sum 'Li4 V8 Ni4 O24'
_cell_length_a 10.368
_cell_length_b 8.347
_cell_length_c 5.554
_cell_angle_alpha 90.00
_cell_angle_beta 113.09
_cell_angle_gamma 90.00
_space_group_name_H-M_alt 'C 1 2 1'
_space_group_IT_number 5
_space_group_name_Hall 'C 2y'
loop_
_atom_site_label
_atom_site_fract_x
_atom_site_fract_y
_atom_site_fract_z
_atom_site_occupancy
Li1 0.000 0.000 0.000 1
Li2 0.000 0.438 0.500 1
V1 0.219 0.321 0.017 1
V2 0.223 0.116 0.541 1
Ni1 0.000 0.636 0.000 1
Ni2 0.000 0.794 0.500 1
O1 0.098 0.613 0.400 1
O2 0.103 0.817 0.895 1
O3 0.135 0.944 0.456 1
O4 0.141 0.267 0.684 1
O5 0.158 0.195 0.204 1
O6 0.176 0.516 0.051 1

***

# GGA-PBEsol Li3V2Ni2O8, optimized geometry
# - V (Å³/atom) = 9.0
# - ΔE_f (raw) (eV/atom) = -1.8120
# - final energy (eV/atom) = -7.1106
# - size of the total moment (μB per cell) = 8.019
data_Li3V2Ni2O8
_chemical_formula_sum 'Li6 V4 Ni4 O16'
_cell_length_a 9.973
_cell_length_b 5.839
_cell_length_c 5.616
_cell_angle_alpha 90.00
_cell_angle_beta 124.06
_cell_angle_gamma 90.00
_space_group_name_H-M_alt 'C 1 2/m 1'
_space_group_IT_number 12
_space_group_name_Hall '-C 2y'
loop_
_atom_site_label
_atom_site_fract_x
_atom_site_fract_y
_atom_site_fract_z
_atom_site_occupancy
Li1 0.000 0.000 0.000 1
Li2 0.250 0.250 0.500 1
V1 0.000 0.500 0.000 1
V2 0.000 0.500 0.500 1
Ni1 0.250 0.250 0.000 1
O1 0.002 0.273 0.250 1
O2 0.225 0.500 0.213 1
O3 0.230 0.500 0.738 1

***

# GGA-PBEsol Li2VNiO4, optimized geometry
# - V (Å³/atom) = 8.5
# - energy above the most stable polymorph in this dataset (eV/atom) = 0.004
# - ΔE_f (raw) (eV/atom) = -1.8588
# - final energy (eV/atom) = -6.9491
# - size of the total moment (μB per cell) = 3.034
data_Li2VNiO4
_chemical_formula_sum 'Li2 V1 Ni1 O4'
_cell_length_a 4.998
_cell_length_b 2.837
_cell_length_c 5.064
_cell_angle_alpha 90.00
_cell_angle_beta 109.39
_cell_angle_gamma 90.00
_space_group_name_H-M_alt 'P 1 2/m 1'
_space_group_IT_number 10
_space_group_name_Hall '-P 2y'
loop_
_atom_site_label
_atom_site_fract_x
_atom_site_fract_y
_atom_site_fract_z
_atom_site_occupancy
Li1 0.000 0.000 0.000 1
Li2 0.500 0.500 0.000 1
V1 0.000 0.500 0.500 1
Ni1 0.500 0.000 0.500 1
O1 0.235 0.000 0.738 1
O2 0.243 0.500 0.276 1

***

# GGA-PBEsol Li2V3NiO8, optimized geometry
# - V (Å³/atom) = 9.8
# - energy above the most stable polymorph in this dataset (eV/atom) = 0.013
# - ΔE_f (raw) (eV/atom) = -2.0668
# - final energy (eV/atom) = -7.8517
# - size of the total moment (μB per cell) = 6.768
data_Li2V3NiO8
_chemical_formula_sum 'Li4 V6 Ni2 O16'
_cell_length_a 11.679
_cell_length_b 3.894
_cell_length_c 6.302
_cell_angle_alpha 90.00
_cell_angle_beta 106.58
_cell_angle_gamma 90.00
_space_group_name_H-M_alt 'C 1 m 1'
_space_group_IT_number 8
_space_group_name_Hall 'C -2y'
loop_
_atom_site_label
_atom_site_fract_x
_atom_site_fract_y
_atom_site_fract_z
_atom_site_occupancy
Li1 0.000 0.000 0.000 1
Li2 0.123 0.000 0.686 1
V1 0.174 0.500 0.074 1
V2 0.344 0.000 0.062 1
V3 0.450 0.000 0.646 1
Ni1 0.272 0.500 0.651 1
O1 0.001 0.500 0.001 1
O2 0.115 0.500 0.713 1
O3 0.172 0.000 0.029 1
O4 0.206 0.500 0.345 1
O5 0.298 0.000 0.719 1
O6 0.334 0.500 0.022 1
O7 0.403 0.000 0.353 1
O8 0.448 0.500 0.668 1

***

# GGA-PBEsol Li3V4NiO12, optimized geometry
# - V (Å³/atom) = 9.3
# - ΔE_f (raw) (eV/atom) = -2.1687
# - final energy (eV/atom) = -7.8481
# - size of the total moment (μB per cell) = 0.945
data_Li3V4NiO12
_chemical_formula_sum 'Li3 V4 Ni1 O12'
_cell_length_a 4.904
_cell_length_b 5.277
_cell_length_c 7.228
_cell_angle_alpha 84.40
_cell_angle_beta 89.95
_cell_angle_gamma 89.93
_space_group_name_H-M_alt 'P 1'
_space_group_IT_number 1
_space_group_name_Hall 'P 1'
loop_
_atom_site_label
_atom_site_fract_x
_atom_site_fract_y
_atom_site_fract_z
_atom_site_occupancy
Li1 0.000 0.000 0.000 1
Li2 0.001 0.003 0.497 1
Li3 0.500 0.506 0.003 1
V1 0.000 0.436 0.723 1
V2 0.501 0.946 0.215 1
V3 0.504 0.944 0.721 1
V4 0.995 0.441 0.218 1
Ni1 0.498 0.526 0.510 1
O1 0.119 0.394 0.945 1
O2 0.190 0.080 0.252 1
O3 0.192 0.701 0.629 1
O4 0.312 0.571 0.263 1
O5 0.320 0.209 0.627 1
O6 0.382 0.896 0.945 1
O7 0.622 0.885 0.444 1
O8 0.684 0.585 0.751 1
O9 0.694 0.203 0.133 1
O10 0.806 0.703 0.133 1
O11 0.818 0.087 0.751 1
O12 0.861 0.391 0.442 1

***

# GGA-PBEsol LiNiW2O8, optimized geometry
# - V (Å³/atom) = 10.5
# - ΔE_f (raw) (eV/atom) = -1.7986
# - final energy (eV/atom) = -8.2764
# - size of the total moment (μB per cell) = 1.012
data_LiNiW2O8
_chemical_formula_sum 'Li1 Ni1 W2 O8'
_cell_length_a 4.856
_cell_length_b 5.437
_cell_length_c 5.643
_cell_angle_alpha 70.97
_cell_angle_beta 89.41
_cell_angle_gamma 64.87
_space_group_name_H-M_alt 'P 1'
_space_group_IT_number 1
_space_group_name_Hall 'P 1'
loop_
_atom_site_label
_atom_site_fract_x
_atom_site_fract_y
_atom_site_fract_z
_atom_site_occupancy
Li1 0.000 0.000 0.000 1
Ni1 0.471 0.054 0.301 1
W1 0.236 0.539 0.618 1
W2 0.698 0.577 0.973 1
O1 0.138 0.334 0.968 1
O2 0.226 0.299 0.467 1
O3 0.259 0.830 0.351 1
O4 0.290 0.780 0.835 1
O5 0.642 0.334 0.758 1
O6 0.675 0.285 0.230 1
O7 0.718 0.821 0.122 1
O8 0.792 0.769 0.625 1